1.
Computed, not measured: a geometry-optimized NaInICl2 structure at the GGA-PBE level of DFT.

Structure (extended XYZ):
```
5
Lattice="5.338 0.000 0.000 0.000 5.338 0.000 0.000 0.000 6.222" Properties=species:S:1:pos:R:3 pbc="T T T"
Na 0.000 0.000 0.000
In 2.669 2.669 3.111
I 2.669 2.669 0.000
Cl 0.000 2.669 3.111
Cl 2.669 0.000 3.111
```

Properties
Raw total energy ... -2.82 eV per atom
ΔE_f (raw) ... -0.96 eV/atom

2.
Computed, not measured: a geometry-optimized CeSm2Tl9 structure at the GGA-PBE level of DFT.

Structure (extended XYZ):
```
12
Lattice="4.818 0.000 0.000 0.000 4.818 0.000 0.000 0.000 14.439" Properties=species:S:1:pos:R:3 pbc="T T T"
Ce 0.000 0.000 0.000
Sm 0.000 0.000 4.830
Sm 0.000 0.000 9.609
Tl 0.000 2.409 2.420
Tl 0.000 2.409 7.220
Tl 0.000 2.409 12.020
Tl 2.409 0.000 2.420
Tl 2.409 0.000 7.220
Tl 2.409 0.000 12.020
Tl 2.409 2.409 0.000
Tl 2.409 2.409 4.813
Tl 2.409 2.409 9.626
```

Properties
E_form ... -277 meV/atom
Raw total energy ... -3.33 eV per atom

3.
Computed, not measured: a geometry-optimized RbHfTl structure at the GGA-PBE level of DFT.

Structure (extended XYZ):
```
6
Lattice="6.300 0.000 0.000 -3.150 5.456 0.000 0.000 0.000 11.071" Properties=species:S:1:pos:R:3 pbc="T T T"
Rb 0.000 3.637 2.768
Rb 3.150 1.819 8.303
Hf 0.000 0.000 0.000
Hf 0.000 0.000 5.536
Tl 0.000 0.000 2.768
Tl 0.000 0.000 8.303
```

Properties
E_form ... 1435 meV/atom
Raw total energy ... -2.99 eV per atom

4.
Computed, not measured: a geometry-optimized PrDy2Y4Mg structure at the GGA-PBE level of DFT.

Structure (extended XYZ):
```
8
Lattice="5.812 0.000 0.000 0.000 5.812 0.000 0.000 0.000 7.502" Properties=species:S:1:pos:R:3 pbc="T T T"
Pr 0.000 0.000 0.000
Dy 0.000 0.000 3.751
Dy 2.906 2.906 3.751
Y 0.000 2.906 1.840
Y 0.000 2.906 5.662
Y 2.906 0.000 1.840
Y 2.906 0.000 5.662
Mg 2.906 2.906 0.000
```

Properties
E_form ... 100 meV/atom
Raw total energy ... -5.08 eV per atom

5.
Computed, not measured: a geometry-optimized ZnSb3O structure at the GGA-PBE level of DFT.

Structure (extended XYZ):
```
5
Lattice="4.789 0.000 0.000 0.000 4.789 0.000 0.000 0.000 4.789" Properties=species:S:1:pos:R:3 pbc="T T T"
Zn 0.000 0.000 0.000
Sb 0.000 2.394 2.394
Sb 2.394 0.000 2.394
Sb 2.394 2.394 0.000
O 2.394 2.394 2.394
```

Properties
Raw total energy ... -3.61 eV per atom
ΔE_f (raw) ... 0.11 eV/atom

6.
Computed, not measured: a geometry-optimized K3Hg2Sb4 structure at the GGA-PBE level of DFT.

Structure (extended XYZ):
```
9
Lattice="6.049 -2.668 0.000 6.049 2.668 0.000 -0.628 0.000 9.586" Properties=species:S:1:pos:R:3 pbc="T T T"
K 0.000 0.000 0.000
K 4.712 0.000 2.913
K 6.758 0.000 6.674
Hg 3.108 0.000 6.333
Hg 8.362 0.000 3.253
Sb 1.022 0.000 4.196
Sb 2.983 0.000 9.219
Sb 8.486 0.000 0.367
Sb 10.448 0.000 5.390
```

Properties
Raw total energy ... -2.55 eV per atom
ΔE_f (raw) ... -0.29 eV/atom

7.
Computed, not measured: a geometry-optimized Cs3Ba3OsO8 structure at the GGA-PBE level of DFT.

Structure (extended XYZ):
```
15
Lattice="3.855 2.225 6.920 -3.855 2.225 6.920 0.000 -4.451 6.920" Properties=species:S:1:pos:R:3 pbc="T T T"
Cs -1.927 -1.113 6.920
Cs -1.927 1.113 13.840
Cs 0.000 2.225 6.920
Ba -3.855 0.000 10.380
Ba -1.927 1.113 3.460
Ba 1.927 1.113 3.460
Os 0.000 0.000 10.380
O 0.000 0.000 4.784
O -1.390 -0.803 11.472
O 0.000 -1.605 9.288
O -1.390 0.803 9.288
O 1.390 -0.803 11.472
O 0.000 1.605 11.472
O 1.390 0.803 9.288
O 0.000 0.000 15.976
```

Properties
Raw total energy ... -5.70 eV per atom
ΔE_f (raw) ... -1.75 eV/atom

8.
Computed, not measured: a geometry-optimized CaZrCu structure at the GGA-PBE level of DFT.

Structure (extended XYZ):
```
6
Lattice="4.686 0.000 0.000 0.000 4.686 0.000 0.000 0.000 6.791" Properties=species:S:1:pos:R:3 pbc="T T T"
Ca 1.171 3.514 0.000
Ca 3.514 1.171 0.000
Zr 1.171 3.514 3.395
Zr 3.514 1.171 3.395
Cu 1.171 1.171 1.977
Cu 3.514 3.514 4.814
```

Properties
E_form ... 236 meV/atom
Raw total energy ... -4.65 eV per atom